# 1
Pr4Sm4Y3: relaxed, GGA-PBE.

Output
Calculated total energy (eV for the cell shown): -57.2
Volume (A^3/atom): 34.2
Formation enthalpy at 0 K (meV per atom): 14.3

Geometry as CIF:
```
data_Pr4Sm4Y3
_chemical_formula_sum 'Pr4 Sm4 Y3'
_symmetry_space_group_name_H-M 'P -1'
_symmetry_Int_Tables_number 2
_cell_length_a 3.643
_cell_length_b 5.160
_cell_length_c 20.268
_cell_angle_alpha 82.69
_cell_angle_beta 84.87
_cell_angle_gamma 89.96
loop_
_symmetry_equiv_pos_as_xyz
'x,y,z'
'-x,-y,-z'
loop_
_atom_site_label
_atom_site_fract_x
_atom_site_fract_y
_atom_site_fract_z
Pr1 0.046 0.046 0.408
Pr2 0.318 0.319 0.863
Sm1 0.227 0.227 0.045
Sm2 0.409 0.409 0.682
Y1 0.136 0.136 0.228
Y2 0.500 0.500 0.500
```

=====

# 2
AcMgSbTe: relaxed, GGA-PBE.

Output
Calculated total energy (eV for the cell shown): -101.1
Volume (A^3/atom): 38.6

Geometry as CIF:
```
data_AcMgSbTe
_chemical_formula_sum 'Ac6 Mg6 Sb6 Te6'
_symmetry_space_group_name_H-M 'R -3 m'
_symmetry_Int_Tables_number 166
_symmetry_space_group_name_Hall '-R 3 2"'
_cell_length_a 4.8353
_cell_length_b 4.8353
_cell_length_c 45.7741
_cell_angle_alpha 90.00
_cell_angle_beta 90.00
_cell_angle_gamma 120.00
loop_
_atom_site_label
_atom_site_fract_x
_atom_site_fract_y
_atom_site_fract_z
Ac1 0.0000 0.0000 0.0898
Mg1 0.0000 0.0000 0.3109
Sb1 0.0000 0.0000 0.3747
Te1 0.0000 0.0000 0.2089
```

=====

# 3
BeMoCl2: relaxed, GGA-PBE.

Output
Calculated total energy (eV for the cell shown): -37.7
Volume (A^3/atom): 19.6

Geometry as CIF:
```
data_BeMoCl2
_chemical_formula_sum 'Be2 Mo2 Cl4'
_symmetry_space_group_name_H-M 'C m m 2'
_symmetry_Int_Tables_number 35
_cell_length_a 3.004
_cell_length_b 5.625
_cell_length_c 9.265
_cell_angle_alpha 90.00
_cell_angle_beta 90.00
_cell_angle_gamma 90.00
loop_
_symmetry_equiv_pos_as_xyz
'x,y,z'
'-x,-y,z'
'-x,y,z'
'x,-y,z'
'x+1/2,y+1/2,z'
'-x+1/2,-y+1/2,z'
'-x+1/2,y+1/2,z'
'x+1/2,-y+1/2,z'
loop_
_atom_site_label
_atom_site_fract_x
_atom_site_fract_y
_atom_site_fract_z
Be1 0.000 0.000 0.000
Mo1 0.000 0.500 0.775
Cl1 0.000 0.000 0.573
Cl2 0.000 0.500 0.145
```

=====

# 4
SrCuSi2Pd2: relaxed, GGA-PBE.

Output
Calculated total energy (eV for the cell shown): -28.5
Volume (A^3/atom): 19.2

Geometry as CIF:
```
data_SrCuSi2Pd2
_chemical_formula_sum 'Sr1 Cu1 Si2 Pd2'
_symmetry_space_group_name_H-M 'P 4/m m m'
_symmetry_Int_Tables_number 123
_symmetry_space_group_name_Hall '-P 4 2'
_cell_length_a 4.478
_cell_length_b 4.478
_cell_length_c 5.746
_cell_angle_alpha 90.00
_cell_angle_beta 90.00
_cell_angle_gamma 90.00
loop_
_atom_site_label
_atom_site_fract_x
_atom_site_fract_y
_atom_site_fract_z
Sr1 0.000 0.000 0.000
Cu1 0.000 0.000 0.500
Si1 0.000 0.500 0.500
Pd1 0.500 0.500 0.258
```

=====

# 5
Tl6TeBr12: relaxed, GGA-PBE.

Output
Calculated total energy (eV for the cell shown): -145.7
Volume (A^3/atom): 38.7

Geometry as CIF:
```
data_Tl6TeBr12
_chemical_formula_sum 'Tl18 Te3 Br36'
_symmetry_space_group_name_H-M 'R -3'
_symmetry_Int_Tables_number 148
_symmetry_space_group_name_Hall '-R 3'
_cell_length_a 13.7273
_cell_length_b 13.7273
_cell_length_c 13.5338
_cell_angle_alpha 90.00
_cell_angle_beta 90.00
_cell_angle_gamma 120.00
loop_
_atom_site_label
_atom_site_fract_x
_atom_site_fract_y
_atom_site_fract_z
Tl1 0.0474 0.2662 0.1278
Te1 0.0000 0.0000 0.5000
Br1 0.0369 0.2216 0.8908
Br2 0.0645 0.1875 0.3844
```

=====

# 6
Ac3SmY3Se8: relaxed, GGA-PBE.

Output
Calculated total energy (eV for the cell shown): -276.9
Volume (A^3/atom): 29.0

Geometry as CIF:
```
data_Ac3SmY3Se8
_chemical_formula_sum 'Ac9 Sm3 Y9 Se24'
_symmetry_space_group_name_H-M 'R -3 m'
_symmetry_Int_Tables_number 166
_symmetry_space_group_name_Hall '-R 3 2"'
_cell_length_a 8.3976
_cell_length_b 8.3976
_cell_length_c 21.3994
_cell_angle_alpha 90.00
_cell_angle_beta 90.00
_cell_angle_gamma 120.00
loop_
_atom_site_label
_atom_site_fract_x
_atom_site_fract_y
_atom_site_fract_z
Ac1 0.0000 0.5000 0.0000
Sm1 0.0000 0.0000 0.5000
Y1 0.0000 0.5000 0.5000
Se1 0.0000 0.0000 0.2409
Se2 0.0103 0.5052 0.7564
```

=====

# 7
Ac5TmBi6: relaxed, GGA-PBE.

Output
Calculated total energy (eV for the cell shown): -119.2
Volume (A^3/atom): 39.4
Formation enthalpy at 0 K (meV per atom): -943.3

Geometry as CIF:
```
data_Ac5TmBi6
_chemical_formula_sum 'Ac10 Tm2 Bi12'
_symmetry_space_group_name_H-M 'C 1 2/m 1'
_symmetry_Int_Tables_number 12
_cell_length_a 8.332
_cell_length_b 14.438
_cell_length_c 8.337
_cell_angle_alpha 90.00
_cell_angle_beta 109.56
_cell_angle_gamma 90.00
loop_
_symmetry_equiv_pos_as_xyz
'x,y,z'
'-x,-y,-z'
'-x,y,-z'
'x,-y,z'
'x+1/2,y+1/2,z'
'-x+1/2,-y+1/2,-z'
'-x+1/2,y+1/2,-z'
'x+1/2,-y+1/2,z'
loop_
_atom_site_label
_atom_site_fract_x
_atom_site_fract_y
_atom_site_fract_z
Ac1 0.000 0.000 0.000
Ac2 0.000 0.165 0.500
Ac3 0.000 0.329 0.000
Tm1 0.000 0.500 0.500
Bi1 0.237 0.500 0.256
Bi2 0.239 0.340 0.740
```

=====

# 8
ErNi5B3: relaxed, GGA-PBE.

Output
Calculated total energy (eV for the cell shown): -227.1
Volume (A^3/atom): 10.8
Formation enthalpy at 0 K (meV per atom): -364.3

Geometry as CIF:
```
data_ErNi5B3
_chemical_formula_sum 'Er4 Ni20 B12'
_symmetry_space_group_name_H-M 'C m c m'
_symmetry_Int_Tables_number 63
_symmetry_space_group_name_Hall '-C 2c 2'
_cell_length_a 3.437
_cell_length_b 10.634
_cell_length_c 10.674
_cell_angle_alpha 90.00
_cell_angle_beta 90.00
_cell_angle_gamma 90.00
loop_
_atom_site_label
_atom_site_fract_x
_atom_site_fract_y
_atom_site_fract_z
Er1 0.000 0.152 0.250
Ni1 0.000 0.000 0.000
Ni2 0.000 0.208 0.571
Ni3 0.000 0.440 0.143
B1 0.000 0.117 0.750
B2 0.000 0.390 0.541
```

=====

# 9
La7Tb2Dy: relaxed, GGA-PBE.

Output
Calculated total energy (eV for the cell shown): -90.2
Volume (A^3/atom): 37.1
Formation enthalpy at 0 K (meV per atom): 327.9

Geometry as CIF:
```
data_La7Tb2Dy
_chemical_formula_sum 'La14 Tb4 Dy2'
_symmetry_space_group_name_H-M 'C m m m'
_symmetry_Int_Tables_number 65
_symmetry_space_group_name_Hall '-C 2 2'
_cell_length_a 12.213
_cell_length_b 17.122
_cell_length_c 3.547
_cell_angle_alpha 90.00
_cell_angle_beta 90.00
_cell_angle_gamma 90.00
loop_
_atom_site_label
_atom_site_fract_x
_atom_site_fract_y
_atom_site_fract_z
La1 0.000 0.000 0.000
La2 0.000 0.181 0.500
La3 0.245 0.129 0.000
Tb1 0.000 0.335 0.000
Dy1 0.000 0.500 0.500
```

=====

# 10
CeHoPu4: relaxed, GGA-PBE.

Output
Calculated total energy (eV for the cell shown): -265.5
Volume (A^3/atom): 27.2
Formation enthalpy at 0 K (meV per atom): 243.5

Geometry as CIF:
```
data_CeHoPu4
_chemical_formula_sum 'Ce4 Ho4 Pu16'
_symmetry_space_group_name_H-M 'F -4 3 m'
_symmetry_Int_Tables_number 216
_symmetry_space_group_name_Hall 'F -4 2 3'
_cell_length_a 8.676
_cell_length_b 8.676
_cell_length_c 8.676
_cell_angle_alpha 90.00
_cell_angle_beta 90.00
_cell_angle_gamma 90.00
loop_
_atom_site_label
_atom_site_fract_x
_atom_site_fract_y
_atom_site_fract_z
Ce1 0.000 0.000 0.000
Ho1 0.250 0.250 0.250
Pu1 0.126 0.126 0.626
```

=====

# 11
LaMn2Ag: relaxed, GGA-PBE.

Output
Calculated total energy (eV for the cell shown): -48.1
Volume (A^3/atom): 19.9
Formation enthalpy at 0 K (meV per atom): 516.6

Geometry as CIF:
```
data_LaMn2Ag
_chemical_formula_sum 'La2 Mn4 Ag2'
_symmetry_space_group_name_H-M 'C 1 2/m 1'
_symmetry_Int_Tables_number 12
_cell_length_a 6.018
_cell_length_b 9.342
_cell_length_c 3.088
_cell_angle_alpha 90.00
_cell_angle_beta 113.70
_cell_angle_gamma 90.00
loop_
_symmetry_equiv_pos_as_xyz
'x,y,z'
'-x,-y,-z'
'-x,y,-z'
'x,-y,z'
'x+1/2,y+1/2,z'
'-x+1/2,-y+1/2,-z'
'-x+1/2,y+1/2,-z'
'x+1/2,-y+1/2,z'
loop_
_atom_site_label
_atom_site_fract_x
_atom_site_fract_y
_atom_site_fract_z
La1 0.000 0.000 0.000
Mn1 0.250 0.250 0.500
Ag1 0.000 0.500 0.000
```

=====

# 12
TmTaTc: relaxed, GGA-PBE.

Output
Calculated total energy (eV for the cell shown): -425.0
Volume (A^3/atom): 20.5
Formation enthalpy at 0 K (meV per atom): 42.5

Geometry as CIF:
```
data_TmTaTc
_chemical_formula_sum 'Tm16 Ta16 Tc16'
_symmetry_space_group_name_H-M 'F d d d'
_symmetry_Int_Tables_number 70
_cell_length_a 5.016
_cell_length_b 10.001
_cell_length_c 19.599
_cell_angle_alpha 90.00
_cell_angle_beta 90.00
_cell_angle_gamma 90.00
loop_
_symmetry_equiv_pos_as_xyz
'x,y,z'
'-x,-y,-z'
'-x+1/4,-y+1/4,z'
'x+1/4,y+1/4,-z'
'x,-y+1/4,-z+1/4'
'-x,y+1/4,z+1/4'
'-x+1/4,y,-z+1/4'
'x+1/4,-y,z+1/4'
'x,y+1/2,z+1/2'
'-x,-y+1/2,-z+1/2'
'-x+1/4,-y+3/4,z+1/2'
'x+1/4,y+3/4,-z+1/2'
'x,-y+3/4,-z+3/4'
'-x,y+3/4,z+3/4'
'-x+1/4,y+1/2,-z+3/4'
'x+1/4,-y+1/2,z+3/4'
'x+1/2,y,z+1/2'
'-x+1/2,-y,-z+1/2'
'-x+3/4,-y+1/4,z+1/2'
'x+3/4,y+1/4,-z+1/2'
'x+1/2,-y+1/4,-z+3/4'
'-x+1/2,y+1/4,z+3/4'
'-x+3/4,y,-z+3/4'
'x+3/4,-y,z+3/4'
'x+1/2,y+1/2,z'
'-x+1/2,-y+1/2,-z'
'-x+3/4,-y+3/4,z'
'x+3/4,y+3/4,-z'
'x+1/2,-y+3/4,-z+1/4'
'-x+1/2,y+3/4,z+1/4'
'-x+3/4,y+1/2,-z+1/4'
'x+3/4,-y+1/2,z+1/4'
loop_
_atom_site_label
_atom_site_fract_x
_atom_site_fract_y
_atom_site_fract_z
Tm1 0.125 0.282 0.125
Ta1 0.125 0.125 0.538
Tc1 0.125 0.125 0.000
```

=====

# 13
Rb2In4Au3: relaxed, GGA-PBE.

Output
Calculated total energy (eV for the cell shown): -97.9
Volume (A^3/atom): 28.2
Formation enthalpy at 0 K (meV per atom): -195.9

Geometry as CIF:
```
data_Rb2In4Au3
_chemical_formula_sum 'Rb8 In16 Au12'
_symmetry_space_group_name_H-M 'C m c e'
_symmetry_Int_Tables_number 64
_symmetry_space_group_name_Hall '-C 2ac 2'
_cell_length_a 6.323
_cell_length_b 18.326
_cell_length_c 8.749
_cell_angle_alpha 90.00
_cell_angle_beta 90.00
_cell_angle_gamma 90.00
loop_
_atom_site_label
_atom_site_fract_x
_atom_site_fract_y
_atom_site_fract_z
Rb1 0.000 0.099 0.123
In1 0.000 0.199 0.489
In2 0.250 0.076 0.750
Au1 0.000 0.000 0.500
Au2 0.250 0.232 0.750
```

=====

# 14
YScF3: relaxed, GGA-PBE.

Output
Calculated total energy (eV for the cell shown): -30.5
Volume (A^3/atom): 18.6

Geometry as CIF:
```
data_YScF3
_chemical_formula_sum 'Y1 Sc1 F3'
_symmetry_space_group_name_H-M 'P m -3 m'
_symmetry_Int_Tables_number 221
_symmetry_space_group_name_Hall '-P 4 2 3'
_cell_length_a 4.532
_cell_length_b 4.532
_cell_length_c 4.532
_cell_angle_alpha 90.00
_cell_angle_beta 90.00
_cell_angle_gamma 90.00
loop_
_atom_site_label
_atom_site_fract_x
_atom_site_fract_y
_atom_site_fract_z
Y1 0.000 0.000 0.000
Sc1 0.500 0.500 0.500
F1 0.000 0.000 0.500
```

=====

# 15
Si3Tc: relaxed, GGA-PBE.

Output
Calculated total energy (eV for the cell shown): -24.7
Volume (A^3/atom): 25.2

Geometry as CIF:
```
data_Si3Tc
_chemical_formula_sum 'Si3 Tc1'
_symmetry_space_group_name_H-M 'P m -3 m'
_symmetry_Int_Tables_number 221
_symmetry_space_group_name_Hall '-P 4 2 3'
_cell_length_a 4.654
_cell_length_b 4.654
_cell_length_c 4.654
_cell_angle_alpha 90.00
_cell_angle_beta 90.00
_cell_angle_gamma 90.00
loop_
_atom_site_label
_atom_site_fract_x
_atom_site_fract_y
_atom_site_fract_z
Si1 0.000 0.000 0.500
Tc1 0.000 0.000 0.000
```

=====

# 16
Sr6LiPd3: relaxed, GGA-PBE.

Output
Calculated total energy (eV for the cell shown): -62.5
Volume (A^3/atom): 36.2
Formation enthalpy at 0 K (meV per atom): -365.7

Geometry as CIF:
```
data_Sr6LiPd3
_chemical_formula_sum 'Sr12 Li2 Pd6'
_symmetry_space_group_name_H-M 'P 1 21/m 1'
_symmetry_Int_Tables_number 11
_cell_length_a 11.208
_cell_length_b 4.400
_cell_length_c 15.629
_cell_angle_alpha 90.00
_cell_angle_beta 110.12
_cell_angle_gamma 90.00
loop_
_symmetry_equiv_pos_as_xyz
'x,y,z'
'-x,-y,-z'
'-x,y+1/2,-z'
'x,-y+1/2,z'
loop_
_atom_site_label
_atom_site_fract_x
_atom_site_fract_y
_atom_site_fract_z
Sr1 0.022 0.250 0.114
Sr2 0.064 0.750 0.413
Sr3 0.226 0.250 0.809
Sr4 0.330 0.250 0.589
Sr5 0.345 0.250 0.335
Sr6 0.358 0.750 0.067
Li1 0.417 0.750 0.766
Pd1 0.164 0.750 0.650
Pd2 0.168 0.250 0.983
Pd3 0.412 0.750 0.478
```